1.
Compound: PmPrSb
Source: Alexandria
Functional: PBE
Structure: optimized geometry

Computed properties:
The calculation puts the energy above the most stable polymorph in this dataset at 0.355 eV per atom. For the formation energy without anion corrections, the calculation gives -0.50 eV per atom. Its symmetry is Cmcm, No. 63. The spin magnetization is 0.000 μB per formula unit. The value obtained for the electronic total energy is -0.1857 Ha/atom.

abc: 13.9088 13.9088 3.5915
angles: 90.00 90.00 163.16
Element x y z (fractional)
1 Pm 0.5616 0.4384 0.2500
2 Pr 0.3010 0.6990 0.7500
3 Sb 0.1269 0.8731 0.7500
4 Sb 0.8731 0.1269 0.2500
5 Pr 0.6990 0.3010 0.2500
6 Pm 0.4384 0.5616 0.7500


2.
Compound: PmPrSb
Source: Alexandria
Functional: PBE
Structure: optimized geometry

Computed properties:
The calculation puts the energy above the most stable polymorph in this dataset at 0.408 eV per atom. For the formation energy without anion corrections, the calculation gives -0.45 eV per atom. Its symmetry is Immm, No. 71. The spin magnetization is 0.000 μB per formula unit. The value obtained for the electronic total energy is -0.1837 Ha/atom.

abc: 5.9240 3.4807 9.9609
angles: 100.06 107.30 90.00
Element x y z (fractional)
1 Sb 0.8451 0.3451 0.6903
2 Pr 0.6736 0.1736 0.3471
3 Pm 0.2537 0.5000 0.0000
4 Sb 0.1549 0.6549 0.3097
5 Pm 0.7463 0.5000 0.0000
6 Pr 0.3264 0.8264 0.6529


Question: What is the formula in the second record?
Answer: PmPrSb